No. 1
A relaxed structure of Ba2AsAu, computed with PBE.

Properties
Energy of formation   -0.906 eV/atom
Space group   No. 160

Unit cell a=8.534 b=8.534 c=8.534 alpha=32.25 beta=32.25 gamma=32.25
Sites, in units of the cell vectors:
Ba 0.000 0.000 0.000
Ba 0.187 0.187 0.187
As 0.593 0.593 0.593
Au 0.428 0.428 0.428

---

No. 2
A relaxed structure of Ca2PbS, computed with PBE.

Properties
Relative energy among the computed polymorphs   0 meV/atom
Raw formation energy   -1.28 eV per atom
Space group   No. 166

Unit cell a=8.555 b=8.555 c=8.555 alpha=26.75 beta=26.75 gamma=26.75
Sites, in units of the cell vectors:
Ca 0.234 0.234 0.234
Ca 0.766 0.766 0.766
Pb 0.000 0.000 0.000
S 0.500 0.500 0.500

---

No. 3
A relaxed structure of LaAlZnPt2, computed with PBE.

Properties
Energy of formation   -0.968 eV/atom
Space group   No. 119

Unit cell a=6.550 b=6.550 c=6.550 alpha=143.36 beta=143.36 gamma=52.78
Sites, in units of the cell vectors:
La 0.000 0.000 0.000
Al 0.750 0.250 0.500
Zn 0.250 0.750 0.500
Pt 0.382 0.382 0.000
Pt 0.618 0.618 0.000

---

No. 4
A relaxed structure of NiMoBr2, computed with PBE.

Properties
Relative energy among the computed polymorphs   453 meV/atom
Raw formation energy   0.49 eV per atom
Space group   No. 166

Unit cell a=8.452 b=8.452 c=8.452 alpha=22.33 beta=22.33 gamma=22.33
Sites, in units of the cell vectors:
Ni 0.000 0.000 0.000
Mo 0.500 0.500 0.500
Br 0.092 0.092 0.092
Br 0.908 0.908 0.908

---

No. 5
A relaxed structure of TiAlZnCr, computed with PBE.

Properties
Energy of formation   -0.072 eV/atom
Space group   No. 216

Unit cell a=4.390 b=4.390 c=4.390 alpha=60.00 beta=60.00 gamma=60.00
Sites, in units of the cell vectors:
Ti 0.000 0.000 0.000
Al 0.250 0.250 0.250
Zn 0.750 0.750 0.750
Cr 0.500 0.500 0.500

---

No. 6
A relaxed structure of Nd2ErGa2Rh5, computed with PBE.

Properties
Energy of formation   -0.785 eV/atom
Space group   No. 127

Unit cell a=10.185 b=10.185 c=3.609 alpha=90.00 beta=90.00 gamma=90.00
Sites, in units of the cell vectors:
Nd 0.175 0.325 0.000
Nd 0.325 0.825 0.000
Nd 0.675 0.175 0.000
Nd 0.825 0.675 0.000
Er 0.000 0.000 0.000
Er 0.500 0.500 0.000
Ga 0.122 0.622 0.000
Ga 0.378 0.122 0.000
Ga 0.622 0.878 0.000
Ga 0.878 0.378 0.000
Rh 0.000 0.500 0.500
Rh 0.069 0.786 0.500
Rh 0.214 0.069 0.500
Rh 0.286 0.569 0.500
Rh 0.431 0.286 0.500
Rh 0.500 0.000 0.500
Rh 0.569 0.714 0.500
Rh 0.714 0.431 0.500
Rh 0.786 0.931 0.500
Rh 0.931 0.214 0.500